Below is an optimized crystal structure of Nd2Ho4Tm, with properties calculated at the GGA-PBE level.

Cell lengths 3.6176, 14.8632, 17.3606 Å; angles 78.54, 90.00, 90.00 degrees
Fractional positions:
Ho: 0.5002 0.1343 0.7927
Tm: 0.0000 0.5000 0.0000
Ho: 0.0002 0.0224 0.6809
Tm: 0.5000 0.0000 0.0000
Ho: 0.4998 0.5224 0.6809
Ho: 0.5001 0.1783 0.5684
Nd: 0.5000 0.1704 0.3308
Ho: 0.9998 0.9776 0.3191
Tm: 0.0000 0.0000 0.5000
Ho: 0.0003 0.1948 0.9430
Nd: 0.0004 0.1046 0.1442
Nd: 0.0000 0.6704 0.3308
Ho: 0.0001 0.3217 0.4316
Ho: 0.4997 0.6948 0.9430
Ho: 0.0002 0.3657 0.2073
Nd: 0.9996 0.8954 0.8558
Tm: 0.5000 0.5000 0.5000
Nd: 0.5004 0.3954 0.8558
Ho: 0.4999 0.8217 0.4316
Nd: 0.0000 0.3296 0.6692
Ho: 0.9999 0.6783 0.5684
Ho: 0.5002 0.4776 0.3191
Ho: 0.9998 0.6343 0.7927
Ho: 0.9997 0.8052 0.0570
Ho: 0.5003 0.3052 0.0570
Nd: 0.4996 0.6046 0.1442
Ho: 0.4998 0.8657 0.2073
Nd: 0.5000 0.8296 0.6692

Calculated volume ... 229 Å³/f.u.
SG ... No. 12
DFT total energy ... -4.51 eV per atom
ΔH_f (0 K) ... 0.108 eV per atom